Crystalline AcMn2Al9 at its relaxed geometry, computed with PBE-GGA.

Geometry as CIF:
```
data_AcMn2Al9
_chemical_formula_sum 'Ac1 Mn2 Al9'
_symmetry_space_group_name_H-M 'P 6/m m m'
_symmetry_Int_Tables_number 191
_symmetry_space_group_name_Hall '-P 6 2'
_cell_length_a 8.0720
_cell_length_b 8.0720
_cell_length_c 3.8824
_cell_angle_alpha 90.00
_cell_angle_beta 90.00
_cell_angle_gamma 120.00
loop_
_atom_site_label
_atom_site_fract_x
_atom_site_fract_y
_atom_site_fract_z
Ac1 0.0000 0.0000 0.0000
Mn1 0.3333 0.6667 0.0000
Al1 0.0000 0.5000 0.0000
Al2 0.2116 0.4231 0.5000
```

***

Crystalline AcMnAl at its relaxed geometry, computed with PBE-GGA.

Geometry as CIF:
```
data_AcMnAl
_chemical_formula_sum 'Ac4 Mn4 Al4'
_symmetry_space_group_name_H-M 'P 1 21/c 1'
_symmetry_Int_Tables_number 14
_cell_length_a 6.267
_cell_length_b 6.022
_cell_length_c 8.488
_cell_angle_alpha 90.00
_cell_angle_beta 111.26
_cell_angle_gamma 90.00
loop_
_symmetry_equiv_pos_as_xyz
'x,y,z'
'-x,-y,-z'
'-x,y+1/2,-z+1/2'
'x,-y+1/2,z+1/2'
loop_
_atom_site_label
_atom_site_fract_x
_atom_site_fract_y
_atom_site_fract_z
Ac1 0.192 0.130 0.378
Mn1 0.227 0.611 0.531
Al1 0.399 0.616 0.287
```

***

Crystalline AcMnAl3 at its relaxed geometry, computed with PBE-GGA.

Geometry as CIF:
```
data_AcMnAl3
_chemical_formula_sum 'Ac1 Mn1 Al3'
_symmetry_space_group_name_H-M 'P m -3 m'
_symmetry_Int_Tables_number 221
_symmetry_space_group_name_Hall '-P 4 2 3'
_cell_length_a 4.700
_cell_length_b 4.700
_cell_length_c 4.700
_cell_angle_alpha 90.00
_cell_angle_beta 90.00
_cell_angle_gamma 90.00
loop_
_atom_site_label
_atom_site_fract_x
_atom_site_fract_y
_atom_site_fract_z
Ac1 0.000 0.000 0.000
Mn1 0.500 0.500 0.500
Al1 0.000 0.500 0.500
```

***

Crystalline AcMnAl11 at its relaxed geometry, computed with PBE-GGA.

Geometry as CIF:
```
data_AcMnAl11
_chemical_formula_sum 'Ac2 Mn2 Al22'
_symmetry_space_group_name_H-M 'C 1 2/m 1'
_symmetry_Int_Tables_number 12
_cell_length_a 5.219
_cell_length_b 12.842
_cell_length_c 7.318
_cell_angle_alpha 90.00
_cell_angle_beta 109.56
_cell_angle_gamma 90.00
loop_
_symmetry_equiv_pos_as_xyz
'x,y,z'
'-x,-y,-z'
'-x,y,-z'
'x,-y,z'
'x+1/2,y+1/2,z'
'-x+1/2,-y+1/2,-z'
'-x+1/2,y+1/2,-z'
'x+1/2,-y+1/2,z'
loop_
_atom_site_label
_atom_site_fract_x
_atom_site_fract_y
_atom_site_fract_z
Ac1 0.000 0.000 0.000
Mn1 0.000 0.500 0.500
Al1 0.000 0.000 0.500
Al2 0.113 0.389 0.240
Al3 0.195 0.173 0.365
Al4 0.250 0.250 0.000
```

***

Number 1: ΔH_f (0 K) -0.26 eV per atom. Number 2: ΔH_f (0 K) 0.02 eV per atom. Number 3: ΔH_f (0 K) -0.29 eV per atom. Number 4: ΔH_f (0 K) -0.17 eV per atom.